No. 1
Compound: Ce2Ga7Pd
Source: Alexandria via LeMat-Bulk
Functional: PBE
Structure: relaxed

VASP energy = -43.76 eV for the cell shown
SG = P4mm

The structure in extended XYZ format:
```
10
Lattice="-0.597 3.411 -2.652 -4.007 -1.439 -0.949 -3.877 5.530 7.985" Properties=species:S:1:pos:R:3 pbc="T T T"
Pd -2.800 1.697 -0.774
Ga -2.398 3.420 4.939
Ga -3.207 5.855 4.665
Ga -4.912 3.430 5.517
Ga -2.956 0.640 1.488
Ga -1.494 2.131 3.077
Ga -1.251 3.065 0.636
Ga -5.773 5.937 5.348
Ce -3.854 5.497 7.937
Ce -4.186 3.674 2.080
```

No. 2
Compound: Ta6Nb
Source: Alexandria via LeMat-Bulk
Functional: PBE
Structure: relaxed

VASP energy = -78.18 eV for the cell shown
SG = P4/mmm

The structure in extended XYZ format:
```
7
Lattice="4.621 0.000 0.000 0.000 4.621 0.000 0.000 0.000 6.468" Properties=species:S:1:pos:R:3 pbc="T T T"
Ta 0.000 2.311 1.651
Ta 2.311 2.311 0.000
Ta 2.311 0.000 4.817
Ta 0.000 0.000 3.234
Ta 2.311 0.000 1.651
Ta 0.000 2.311 4.817
Nb 0.000 0.000 0.000
```

No. 3
Compound: CsMgRe3
Source: Alexandria via LeMat-Bulk
Functional: PBE
Structure: relaxed

VASP energy = -24.81 eV for the cell shown
SG = Pm-3m

The structure in extended XYZ format:
```
5
Lattice="4.925 0.000 0.000 0.000 4.925 0.000 0.000 0.000 4.925" Properties=species:S:1:pos:R:3 pbc="T T T"
Mg 0.000 0.000 0.000
Cs 2.462 2.462 2.462
Re 0.000 0.000 2.462
Re 2.462 0.000 0.000
Re 0.000 2.462 0.000
```

Number 1: E_form -5.5 eV per formula unit, total magnetic moment 1.58 Bohr magnetons per cell, E above lowest polymorph 0 meV/atom. Number 2: E_form 3.0 eV per formula unit, total magnetic moment 0.00 Bohr magnetons per cell, E above lowest polymorph 433 meV/atom. Number 3: E_form 15.0 eV per formula unit, total magnetic moment 6.49 Bohr magnetons per cell, E above lowest polymorph 0 meV/atom.